# 1
This record from Alexandria via LeMat-Bulk describes a crystal of NaMn2F relaxed with PBEsol. The functional is SCAN.

Cell: 4.5336 4.5336 4.5336 Å, 60.00 60.00 60.00°
Closest atoms and distances in Å follow each position.
Fractional positions:
Mn: 0.7500 0.7500 0.7500  4 F 2.78, 4 Na 2.78
Mn: 0.2500 0.2500 0.2500  4 Na 2.78, 4 F 2.78
Na: 0.5000 0.5000 0.5000  8 Mn 2.78
F: 0.0000 0.0000 0.0000  8 Mn 2.78

Computed properties:
For the raw formation energy, the calculation gives 0.17 eV per atom. As for the space-group type: Fm-3m.


# 2
This record from Alexandria via LeMat-Bulk describes a crystal of SrMn3Sb relaxed with PBEsol. The functional is SCAN.

Cell: 4.9899 4.9899 4.9899 Å, 90.00 90.00 90.00°
Closest atoms and distances in Å follow each position.
Fractional positions:
Sr: 0.5000 0.5000 0.5000  12 Mn 3.53
Mn: 0.0000 0.0000 0.5000  2 Sb 2.49
Mn: 0.0000 0.5000 0.0000  2 Sb 2.49
Mn: 0.5000 0.0000 0.0000  2 Sb 2.49
Sb: 0.0000 0.0000 0.0000  6 Mn 2.49

Computed properties:
For the raw formation energy, the calculation gives 0.35 eV per atom. As for the space-group type: Pm-3m.


# 3
This record from Alexandria via LeMat-Bulk describes a crystal of SrMgRe2 relaxed with PBEsol. The functional is SCAN.

Cell: 3.9103 3.9103 4.8763 Å, 90.00 90.00 90.00°
Closest atoms and distances in Å follow each position.
Fractional positions:
Sr: 0.5000 0.5000 0.5000  4 Mg 2.77
Re: 0.0000 0.5000 0.0000  4 Re 2.77
Re: 0.5000 0.0000 0.0000  4 Re 2.77
Mg: 0.0000 0.0000 0.5000  4 Sr 2.77

Computed properties:
As for the space-group type: P4/mmm. For the formation enthalpy at 0 K, the calculation gives 4.21 eV per formula unit.


# 4
This record from Alexandria via LeMat-Bulk describes a crystal of LiLaTa2 relaxed with PBEsol. The functional is SCAN.

Cell: 2.9710 2.9710 10.4242 Å, 90.00 90.00 113.61°
Closest atoms and distances in Å follow each position.
Fractional positions:
Ta: 0.5000 0.5000 0.7803  6 Ta 2.69-2.97
Ta: 0.0000 0.0000 0.9857  6 Ta 2.69-2.97, 2 Li 2.92
Li: 0.5000 0.5000 0.2187  2 Ta 2.92, 6 Li 2.97-3.25
La: 0.0000 0.0000 0.5153  6 La 2.97-3.25, 2 Ta 3.21

Computed properties:
As for the space-group type: Cmm2. For the formation enthalpy at 0 K, the calculation gives 1.47 eV per formula unit.


# 5
This record from Alexandria via LeMat-Bulk describes a crystal of ScMoC3 relaxed with PBEsol. The functional is SCAN.

Cell: 3.9820 3.9820 3.9820 Å, 90.00 90.00 90.00°
Closest atoms and distances in Å follow each position.
Fractional positions:
C: 0.0000 0.0000 0.5000  2 Mo 1.99
C: 0.5000 0.0000 0.0000  2 Mo 1.99
C: 0.0000 0.5000 0.0000  2 Mo 1.99
Sc: 0.5000 0.5000 0.5000  12 C 2.82
Mo: 0.0000 0.0000 0.0000  6 C 1.99

Computed properties:
As for the space-group type: Pm-3m. For the formation enthalpy at 0 K, the calculation gives 5.43 eV per formula unit.


# 6
This record from Alexandria via LeMat-Bulk describes a crystal of KTe2IrI relaxed with PBEsol. The functional is SCAN.

Cell: 5.8062 5.7880 5.7880 Å, 90.00 90.00 90.00°
Closest atoms and distances in Å follow each position.
Fractional positions:
Te: 0.0000 0.0000 0.5000  2 K 2.89
Te: 0.0000 0.5000 0.0000  2 K 2.89
Ir: 0.5000 0.5000 0.5000  4 I 4.09, 8 Te 4.10
K: 0.0000 0.0000 0.0000  4 Te 2.89, 2 I 2.90
I: 0.5000 0.0000 0.0000  2 K 2.90

Computed properties:
For the raw formation energy, the calculation gives 1.75 eV per atom. As for the space-group type: P4/mmm.


Here are the calculated total moment numbers, same order: 9.16 10.68 0.00 0.00 0.00 6.50 (μB/f.u.).